Entry 1:
Material: Rb2PtBrN
Method: DFT, PBE
State: optimized geometry

For the volume, the calculation gives 29.375 Å³/atom. For the density of states at the Fermi level, the calculation gives 0.4161 states/eV/atom. As for the magnetic moment: 0.41 μB per formula unit. The calculation puts the total energy at -4.297 eV per atom. The uncorrected formation energy comes out at -0.702 eV/atom. The calculation puts the distance to the lowest polymorph of the same formula at 0.000 eV/atom.

It has space group P4/mmm (No. 123), with a = 6.266 Å, b = 6.266 Å, c = 3.741 Å, α = 90.00°, β = 90.00° and γ = 90.00°. The asymmetric unit holds Rb at (0.000, 0.500, 0.000), Pt at (0.000, 0.000, 0.500), Br at (0.500, 0.500, 0.500) and N at (0.000, 0.000, 0.000).

Entry 2:
Material: CsRb2Bi2
Method: DFT, PBE
State: optimized geometry

For the volume, the calculation gives 45.903 Å³/atom. For the density of states at the Fermi level, the calculation gives 0.7851 states/eV/atom. As for the magnetic moment: 0.00 μB per formula unit. The calculation puts the total energy at -2.346 eV per atom. The calculated formation energy is -23 kJ/mol of atoms. The calculation puts the distance to the lowest polymorph of the same formula at 0.052 eV/atom.

It has space group P4/mbm (No. 127), with a = 11.289 Å, b = 11.289 Å, c = 3.602 Å, α = 90.00°, β = 90.00° and γ = 90.00°. The asymmetric unit holds Cs at (0.000, 0.000, 0.000), Rb at (0.120, 0.380, 0.000) and Bi at (0.177, 0.677, 0.500).

Entry 3:
Material: As2IrBr
Method: DFT, PBE
State: optimized geometry

For the volume, the calculation gives 24.191 Å³/atom. For the density of states at the Fermi level, the calculation gives 0.6086 states/eV/atom. As for the magnetic moment: 0.00 μB per formula unit. The calculation puts the total energy at -5.137 eV per atom. The uncorrected formation energy comes out at -0.179 eV/atom. The calculation puts the distance to the lowest polymorph of the same formula at 0.000 eV/atom.

It has space group C2/m (No. 12), with a = 6.719 Å, b = 3.872 Å, c = 7.775 Å, α = 90.00°, β = 106.89° and γ = 90.00°. The asymmetric unit holds As at (0.116, 0.000, 0.350), Ir at (0.000, 0.500, 0.500) and Br at (0.000, 0.000, 0.000).

Entry 4:
Material: Dy3CoNi8
Method: DFT, PBE
State: optimized geometry

For the volume, the calculation gives 14.453 Å³/atom. For the density of states at the Fermi level, the calculation gives 1.2378 states/eV/atom. As for the magnetic moment: 2.99 μB per formula unit. The calculation puts the total energy at -5.908 eV per atom. The calculated formation energy is -30 kJ/mol of atoms.

It has space group R3m (No. 160, hexagonal axes), with a = 4.9672 Å, b = 4.9672 Å, c = 24.3509 Å, α = 90.00°, β = 90.00° and γ = 120.00°. The asymmetric unit holds Dy at (0.0000, 0.0000, 0.0000), Dy at (0.0000, 0.0000, 0.1304), Dy at (0.0000, 0.0000, 0.5206), Co at (0.0000, 0.0000, 0.6446), Ni at (0.0000, 0.0000, 0.3188), Ni at (0.0000, 0.0000, 0.8197), Ni at (0.1675, 0.3350, 0.4011) and Ni at (0.1684, 0.3369, 0.9040).